! Ta2TlRh (PBE, relaxed); values from VASP
&SYSTEM
  ibrav = 0, nat = 4, ntyp = 3
/
ATOMIC_SPECIES
Ta 180.95 Ta.upf
Rh 102.91 Rh.upf
Tl 204.38 Tl.upf
ATOMIC_POSITIONS crystal
Ta 0.0000 0.9994 0.2695
Ta 0.0000 0.0006 0.7305
Rh 0.5000 0.5000 0.5000
Tl 0.5000 0.5000 0.0000
CELL_PARAMETERS angstrom
-2.4491 -2.0977 -2.6125
0.3425 -2.4229 1.6245
-4.7141 1.4834 3.2282
! - energy (eV/atom) = -8.237
! - density (g/cm3) = 15.4
! - formation energy (kJ/mol of atoms) = 11.4
! - N(E_F) (states/eV per atom) = 0.639
! - spin magnetization (μB/atom) = 0.000
! - energy above the most stable polymorph in this dataset (eV per atom) = 0.049